A plane-wave DFT calculation with GGA-PBE was carried out for a geometry-optimized AcDy14Th structure.

The structure in POSCAR format:
```
AcDy14Th
1.0
-1.356 6.441 -2.809
-3.597 -3.094 -5.358
-8.505 0.560 5.387
Dy Ac Th
14 1 1
direct
0.880 0.630 0.753
0.370 0.630 0.753
0.625 0.875 0.000
0.125 0.875 0.000
0.370 0.120 0.247
0.880 0.120 0.753
0.125 0.375 0.500
0.370 0.120 0.753
0.370 0.630 0.247
0.880 0.630 0.247
0.125 0.375 0.000
0.625 0.875 0.500
0.625 0.375 0.000
0.880 0.120 0.247
0.625 0.375 0.500
0.125 0.875 0.500
```

## Properties
E	-4.7112	eV/atom
spin magnetization	0.00	μB/f.u.
calculated volume	516	Å³ per cell
space-group type	P4/mmm, No. 123
crystal system	tetragonal
energy of formation	0.0362	eV per atom